Computed, not measured: a relaxed La2MgAg crystal at the PBE level of DFT.

Geometry as extended XYZ:
```
4
Lattice="6.211 -0.007 0.000 2.731 5.578 0.000 -4.471 -2.786 3.290" Properties=species:S:1:pos:R:3 pbc="T T T"
Ag 3.105 -0.003 1.645
La 0.000 0.000 0.000
La 1.365 2.789 1.645
Mg 4.471 2.786 0.000
```

Output
E_form in eV per atom: -0.07
Energy in eV per atom: -3.6432